Record 1
The following is a DFT calculation (PBE-GGA) of a relaxed structure of Pm2DyHo5Tm.

Formation energy in kJ/mol of formula units: 243.5
DOS at the Fermi energy in states/eV/f.u.: 11.89
Mass density in g cm⁻³: 8.35

Unit cell a=8.5752 b=8.5752 c=15.6393 alpha=90.00 beta=90.00 gamma=90.00
With the nearest neighbours (Å) after each atom.
Space group I4/mcm (No. 140)
Asymmetric unit:
Pm1 0.1175 0.3825 0.0000 x8  1 Pm 2.85, 2 Ho 3.01
Dy1 0.0000 0.0000 0.2500 x4  10 Ho 3.51-3.91
Ho1 0.0000 0.0000 0.0000 x4  4 Pm 3.43, 8 Ho 3.77
Ho2 0.2128 0.2872 0.3597 x16  1 Pm 3.01, 1 Tm 3.10
Tm1 0.0000 0.5000 0.2500 x4  4 Ho 3.10



Record 2
The following is a DFT calculation (PBE-GGA) of a relaxed structure of PmDy2Ho6Tm3.

Formation energy in kJ/mol of formula units: 23.8
DOS at the Fermi energy in states/eV/f.u.: 16.17
Mass density in g cm⁻³: 8.78

Unit cell a=6.1124 b=10.5735 c=11.6879 alpha=90.00 beta=99.99 gamma=90.00
With the nearest neighbours (Å) after each atom.
Space group C2/m (No. 12)
Asymmetric unit:
Pm1 0.0000 0.0000 0.0000 x2  6 Dy 3.52-3.53, 6 Ho 3.55
Dy1 0.0000 0.3334 0.0000 x4  3 Dy 3.52-3.53, 3 Pm 3.52-3.53, 6 Ho 3.54-3.55
Ho1 0.2480 0.3331 0.7474 x8  3 Tm 3.50, 6 Ho 3.52-3.53, 2 Dy 3.54-3.55, 1 Pm 3.55
Ho2 0.2488 0.0000 0.7475 x4  3 Tm 3.50, 6 Ho 3.52-3.53, 1 Pm 3.55, 2 Dy 3.55
Tm1 0.0000 0.1669 0.5000 x4  6 Ho 3.50, 6 Tm 3.52-3.53
Tm2 0.0000 0.5000 0.5000 x2  6 Ho 3.50, 6 Tm 3.52-3.53



Record 3
The following is a DFT calculation (PBE-GGA) of a relaxed structure of PmDy6Ho3Tm2.

Formation energy in kJ/mol of formula units: 21.0
DOS at the Fermi energy in states/eV/f.u.: 15.45
Mass density in g cm⁻³: 8.65

Unit cell a=6.1247 b=10.5971 c=11.7225 alpha=90.00 beta=99.97 gamma=90.00
With the nearest neighbours (Å) after each atom.
Space group C2/m (No. 12)
Asymmetric unit:
Pm1 0.0000 0.0000 0.0000 x2  6 Tm 3.53-3.54, 6 Dy 3.54
Dy1 0.2488 0.3330 0.7494 x8  3 Ho 3.52-3.53, 6 Dy 3.53-3.54, 2 Tm 3.54, 1 Pm 3.54
Dy2 0.2500 0.0000 0.7495 x4  3 Ho 3.53, 6 Dy 3.53-3.54, 1 Pm 3.54, 2 Tm 3.54
Ho1 0.0000 0.1670 0.5000 x4  6 Dy 3.52-3.53, 6 Ho 3.53-3.54
Ho2 0.0000 0.5000 0.5000 x2  6 Ho 3.53-3.54, 6 Dy 3.53
Tm1 0.0000 0.3333 0.0000 x4  3 Pm 3.53-3.54, 3 Tm 3.53, 6 Dy 3.54



Record 4
The following is a DFT calculation (PBE-GGA) of a relaxed structure of PmDy2Ho4Tm.

Formation energy in kJ/mol of formula units: 25.8
DOS at the Fermi energy in states/eV/f.u.: 11.70
Mass density in g cm⁻³: 8.63

Unit cell a=7.0472 b=7.0616 c=12.2276 alpha=105.77 beta=90.68 gamma=119.91
With the nearest neighbours (Å) after each atom.
Space group P-1 (No. 2)
Asymmetric unit:
Pm1 0.0000 0.0000 0.0000 x1  6 Ho 3.50-3.56, 4 Tm 3.52-3.53, 2 Dy 3.53
Pm2 0.5000 0.0000 0.5000 x1  6 Ho 3.52-3.57, 6 Dy 3.52-3.53
Dy1 0.0000 0.0000 0.5000 x1  6 Ho 3.52-3.57, 2 Pm 3.52, 4 Dy 3.53
Dy2 0.0000 0.5000 0.5000 x1  6 Ho 3.52-3.57, 4 Dy 3.52-3.53, 2 Pm 3.53
Dy3 0.5000 0.5000 0.0000 x1  6 Ho 3.50-3.56, 4 Tm 3.52-3.53, 2 Pm 3.53
Dy4 0.5000 0.5000 0.5000 x1  6 Ho 3.52-3.57, 4 Dy 3.52-3.53, 2 Pm 3.53
Ho1 0.2493 0.5003 0.2492 x2  1 Tm 3.50, 6 Ho 3.52-3.54, 3 Dy 3.52-3.55, 2 Pm 3.56-3.57
Ho2 0.2498 0.9998 0.2494 x2  2 Pm 3.50-3.52, 6 Ho 3.52-3.54, 2 Tm 3.54-3.56, 2 Dy 3.55-3.57
Ho3 0.2503 0.5002 0.7508 x2  4 Dy 3.50-3.57, 6 Ho 3.52-3.54, 2 Tm 3.54-3.56
Ho4 0.2509 0.9998 0.7507 x2  1 Tm 3.50, 6 Ho 3.52-3.54, 3 Dy 3.52-3.57, 2 Pm 3.54-3.55
Tm1 0.0000 0.5000 0.0000 x1  6 Ho 3.50-3.56, 2 Dy 3.52, 2 Pm 3.53, 2 Tm 3.53
Tm2 0.5000 0.0000 0.0000 x1  6 Ho 3.50-3.56, 2 Pm 3.52, 2 Dy 3.53, 2 Tm 3.53